Record 1
DFT (meta-GGA SCAN) results for In2CoP at its PBEsol-relaxed geometry.

abc: 5.1430 5.1430 5.1430
angles: 134.61 134.61 66.13
Fractional positions:
1 In 0.0000 0.0000 0.0000
2 In 0.7500 0.2500 0.5000
3 Co 0.2500 0.7500 0.5000
4 P 0.5000 0.5000 0.0000

For the formation energy, the calculation gives 0.588 eV per atom.

***

Record 2
DFT (meta-GGA SCAN) results for InCo2P at its PBEsol-relaxed geometry.

abc: 5.3018 5.3018 5.3018
angles: 105.16 105.16 118.48
Fractional positions:
1 In 0.0000 0.0000 0.0000
2 In 0.7500 0.2500 0.5000
3 Co 0.2011 0.1250 0.5761
4 Co 0.3750 0.7989 0.9239
5 Co 0.5489 0.6250 0.4239
6 Co 0.8750 0.4511 0.0761
7 P 0.2500 0.7500 0.5000
8 P 0.5000 0.5000 0.0000

For the formation energy, the calculation gives 0.149 eV per atom.

***

Record 3
DFT (meta-GGA SCAN) results for InCo2P at its PBEsol-relaxed geometry.

abc: 4.2572 4.2572 4.2572
angles: 60.00 60.00 60.00
Fractional positions:
1 In 0.0000 0.0000 0.0000
2 Co 0.2500 0.2500 0.2500
3 Co 0.5000 0.5000 0.5000
4 P 0.7500 0.7500 0.7500

For the formation energy, the calculation gives 0.669 eV per atom.

***

Record 4
DFT (meta-GGA SCAN) results for InCoP2 at its PBEsol-relaxed geometry.

abc: 4.8607 4.8607 4.8607
angles: 142.17 118.38 74.62
Fractional positions:
1 In 0.0000 0.0000 0.0000
2 Co 0.2895 0.7895 0.5000
3 P 0.4864 0.4864 0.0000
4 P 0.7100 0.2100 0.5000

Its energy above the most stable polymorph in this dataset is 0.000 eV/atom. For the formation energy, the calculation gives 0.520 eV per atom.

***

Record 5
DFT (meta-GGA SCAN) results for InCoP2 at its PBEsol-relaxed geometry.

abc: 4.5082 4.5082 4.5082
angles: 124.34 124.34 82.64
Fractional positions:
1 In 0.0000 0.0000 0.0000
2 Co 0.5000 0.5000 0.0000
3 P 0.2500 0.7500 0.5000
4 P 0.7500 0.2500 0.5000

Its energy above the most stable polymorph in this dataset is 0.177 eV/atom. For the formation energy, the calculation gives 0.697 eV per atom.

***

Record 6
DFT (meta-GGA SCAN) results for In2Co2P at its PBEsol-relaxed geometry.

abc: 8.0052 8.0052 8.0052
angles: 156.15 156.15 33.99
Fractional positions:
1 In 0.1085 0.1085 0.0000
2 In 0.8915 0.8915 0.0000
3 Co 0.2500 0.7500 0.5000
4 Co 0.7500 0.2500 0.5000
5 P 0.5000 0.5000 0.0000

For the formation energy, the calculation gives 0.381 eV per atom.

***

Record 7
DFT (meta-GGA SCAN) results for In2CoP at its PBEsol-relaxed geometry.

abc: 4.6058 4.6058 4.6058
angles: 60.00 60.00 60.00
Fractional positions:
1 In 0.0000 0.0000 0.0000
2 In 0.2500 0.2500 0.2500
3 Co 0.7500 0.7500 0.7500
4 P 0.5000 0.5000 0.5000

For the formation energy, the calculation gives 0.700 eV per atom.

***

Record 8
DFT (meta-GGA SCAN) results for InCoP2S at its PBEsol-relaxed geometry.

abc: 4.9030 4.9030 4.9077
angles: 90.00 90.00 90.00
Fractional positions:
1 In 0.0000 0.0000 0.0000
2 Co 0.5000 0.5000 0.5000
3 P 0.0000 0.5000 0.0000
4 P 0.5000 0.0000 0.0000
5 S 0.0000 0.0000 0.5000

For the formation energy without anion corrections, the calculation gives 1.392 eV/atom.

***

Summary of V in Å³ per atom
17.0, 14.1, 13.6, 15.2, 15.0, 16.8, 17.3, 23.6
(order as listed above)
Summary of total DFT energy (no corrections) in eV per formula unit
-92.1, -77.8, -75.7, -69.4, -68.7, -109.9, -91.7, -74.2
(order as listed above)